1.
Entry from the Alexandria database: crystalline YGaN2F at its relaxed geometry (PBE-GGA).

Output
- E_form (uncorrected) (meV/atom) = -225
- mass density (g cm⁻³) = 3.7
- energy relative to the lowest polymorph listed for this composition (meV per atom) = 713

Lattice parameters (Å, degrees): 4.6299 4.6299 4.3407 90.00 90.00 90.00
Element x y z (fractional)
F1 0.0000 0.0000 0.5000
N1 0.5000 0.0000 0.0000
N2 0.0000 0.5000 0.0000
Ga1 0.5000 0.5000 0.5000
Y1 0.0000 0.0000 0.0000

***

2.
Entry from the Alexandria database: crystalline Hf4SiAs at its relaxed geometry (PBE-GGA).

Output
- E_form (uncorrected) (meV/atom) = -769
- mass density (g cm⁻³) = 11.9
- energy relative to the lowest polymorph listed for this composition (meV per atom) = 0

Lattice parameters (Å, degrees): 5.3278 6.5352 6.5352 90.00 90.00 90.00
Element x y z (fractional)
Hf1 0.5000 0.3389 0.8465
Hf2 0.5000 0.8465 0.6611
Hf3 0.0000 0.6611 0.8465
Hf4 0.0000 0.3389 0.1535
Hf5 0.0000 0.8465 0.3389
Hf6 0.5000 0.6611 0.1535
Hf7 0.5000 0.1535 0.3389
Hf8 0.0000 0.1535 0.6611
Si1 0.7500 0.0000 0.0000
Si2 0.2500 0.0000 0.0000
As1 0.2500 0.5000 0.5000
As2 0.7500 0.5000 0.5000

***

3.
Entry from the Alexandria database: crystalline InH3SCl3 at its relaxed geometry (PBE-GGA).

Output
- mass density (g cm⁻³) = 2.2
- calculated total energy (Ha/atom) = -0.1242

Lattice parameters (Å, degrees): 7.7760 6.7288 7.3548 92.04 92.79 93.28
Element x y z (fractional)
H1 0.4146 0.2334 0.3888
H2 0.1385 0.5427 0.0048
H3 0.3271 0.4833 0.5150
H4 0.9960 0.5453 0.7264
H5 0.4797 0.5158 0.3046
H6 0.9032 0.4111 0.0019
Cl1 0.0179 0.5151 0.5332
Cl2 0.4665 0.6017 0.0196
Cl3 0.3161 0.0009 0.2794
Cl4 0.6521 0.9321 0.6967
Cl5 0.7283 0.1518 0.1494
Cl6 0.2416 0.0988 0.8163
In1 0.4878 0.9635 0.9800
In2 0.9676 0.0022 0.4884
S1 0.4859 0.4244 0.4709
S2 0.9744 0.5951 0.9686

***

4.
Entry from the Alexandria database: crystalline PrCd4Pt2 at its relaxed geometry (PBE-GGA).

Output
- DFT formation energy (eV per formula unit) = -3.26
- mass density (g cm⁻³) = 10.5
- energy relative to the lowest polymorph listed for this composition (meV per atom) = 34

Lattice parameters (Å, degrees): 4.0583 4.3207 9.1349 103.68 90.00 90.00
Element x y z (fractional)
Pr1 0.0000 0.0000 0.0000
Cd1 0.0000 0.6841 0.3683
Cd2 0.5000 0.1755 0.3509
Cd3 0.0000 0.3159 0.6317
Cd4 0.5000 0.8245 0.6491
Pt1 0.5000 0.4265 0.8531
Pt2 0.5000 0.5735 0.1469

***

5.
Entry from the Alexandria database: crystalline Cs2Tl4Hg9 at its relaxed geometry (PBE-GGA).

Output
- DFT formation energy (eV per formula unit) = -1.48
- mass density (g cm⁻³) = 9.0

Lattice parameters (Å, degrees): 5.3225 5.3225 21.6172 90.00 90.00 120.00
Element x y z (fractional)
Hg1 0.3333 0.6667 0.9447
Hg2 0.0000 0.0000 0.8696
Hg3 0.3333 0.6667 0.5528
Hg4 0.0000 0.0000 0.1304
Hg5 0.6667 0.3333 0.0553
Hg6 0.0000 0.0000 0.3447
Hg7 0.6667 0.3333 0.4472
Hg8 0.0000 0.0000 0.5000
Hg9 0.0000 0.0000 0.6553
Tl1 0.3333 0.6667 0.3954
Tl2 0.3333 0.6667 0.0873
Tl3 0.6667 0.3333 0.6046
Tl4 0.6667 0.3333 0.9127
Cs1 0.6667 0.3333 0.2402
Cs2 0.3333 0.6667 0.7598

***

6.
Entry from the Alexandria database: crystalline AlAsPd5 at its relaxed geometry (PBE-GGA).

Output
- DFT formation energy (eV per formula unit) = -1.71
- mass density (g cm⁻³) = 8.5

Lattice parameters (Å, degrees): 6.4176 6.4176 7.8294 61.48 61.48 82.15
Element x y z (fractional)
Pd1 0.6251 0.7545 0.3507
Pd2 0.6412 0.1564 0.9834
Pd3 0.1903 0.8097 0.7500
Pd4 0.3749 0.2455 0.6493
Pd5 0.8097 0.1903 0.2500
Pd6 0.1564 0.6412 0.4834
Pd7 0.2455 0.3749 0.1493
Pd8 0.7545 0.6251 0.8507
Pd9 0.3588 0.8436 0.0166
Pd10 0.8436 0.3588 0.5166
As1 0.0000 0.0000 0.0000
As2 0.0000 0.0000 0.5000
Al1 0.5131 0.4869 0.2500
Al2 0.4869 0.5131 0.7500

***

7.
Entry from the Alexandria database: crystalline Rb3Hg2Sb4 at its relaxed geometry (PBE-GGA).

Output
- E_form (uncorrected) (meV/atom) = -289
- mass density (g cm⁻³) = 5.3
- energy relative to the lowest polymorph listed for this composition (meV per atom) = 0

Lattice parameters (Å, degrees): 5.1700 7.6121 12.2217 52.33 77.79 70.15
Element x y z (fractional)
Rb1 0.3402 0.6523 0.6674
Rb2 0.6599 0.3477 0.3326
Rb3 0.0000 0.0000 0.0000
Hg1 0.4003 0.9354 0.2640
Hg2 0.5997 0.0646 0.7360
Sb1 0.2496 0.4308 0.0700
Sb2 0.7504 0.5692 0.9300
Sb3 0.9266 0.7482 0.3987
Sb4 0.0734 0.2518 0.6013

***

8.
Entry from the Alexandria database: crystalline Ho2GaGe at its relaxed geometry (PBE-GGA).

Output
- DFT formation energy (eV per formula unit) = -2.42
- mass density (g cm⁻³) = 8.8

Lattice parameters (Å, degrees): 3.9593 4.7500 4.7500 90.00 90.00 90.00
Element x y z (fractional)
Ga1 0.5000 0.5000 0.5000
Ho1 0.0000 0.5000 0.0000
Ho2 0.0000 0.0000 0.5000
Ge1 0.5000 0.0000 0.0000